Entry from Alexandria via LeMat-Bulk: a relaxed structure of NdNi (PBE-GGA).

Results
SG = No. 141
Energy of formation from the pure elements = 4.02 kJ/mol of atoms
Electronic total energy = -5.233 eV per atom
Volume = 155 Å³/cell

Lattice parameters (Å, degrees): 4.746 6.885 4.746 90.00 90.00 90.00
Element x y z (fractional)
Ni 0.750 0.375 0.000
Ni 0.250 0.875 0.500
Ni 0.250 0.625 0.000
Ni 0.750 0.125 0.500
Nd 0.750 0.875 0.000
Nd 0.250 0.375 0.500
Nd 0.250 0.125 0.000
Nd 0.750 0.625 0.500

***

Entry from Alexandria via LeMat-Bulk: a relaxed structure of CsAgPtS2 (PBE-GGA).

Results
SG = No. 67
Electronic total energy = -4.081 eV per atom
Volume = 278 Å³/cell
Raw formation energy = -0.481 eV per atom

Lattice parameters (Å, degrees): 4.815 7.282 8.722 114.67 90.00 90.00
Element x y z (fractional)
Cs 0.061 0.750 0.500
Cs 0.939 0.250 0.500
Ag 0.000 0.000 0.000
Ag 0.000 0.500 0.000
Pt 0.500 0.750 0.000
Pt 0.500 0.250 0.000
S 0.542 0.904 0.807
S 0.542 0.596 0.193
S 0.458 0.404 0.807
S 0.458 0.096 0.193